Entry from Alexandria via LeMat-Bulk: crystalline PuPaZn2 at its relaxed geometry (GGA-PBE).

Output
E above lowest polymorph = 0.085 eV per atom
DOS at the Fermi energy = 8.5 states/eV per cell
ΔE_f = 0.0469 eV/atom
E = -26.2 eV per cell
magnetic moment = 1.730 μB/atom
symmetry = P4/mmm

Lattice parameters (Å, degrees): 3.8071 3.8071 5.9870 90.00 90.00 90.00
Element x y z (fractional)
Pu 0.5000 0.5000 0.5000
Zn 0.0000 0.0000 0.7488
Zn 0.0000 0.0000 0.2512
Pa 0.5000 0.5000 0.0000

Entry from Alexandria via LeMat-Bulk: crystalline BaSr2Mg at its relaxed geometry (GGA-PBE).

Output
DOS at the Fermi energy = 4.7 states/eV per cell
ΔE_f = 0.0753 eV/atom
E = -6.6 eV per cell
magnetic moment = 0.000 μB/atom
symmetry = P2/m

Lattice parameters (Å, degrees): 6.4118 4.0911 7.3260 81.57 90.00 90.00
Element x y z (fractional)
Ba 0.5000 0.2500 0.2500
Sr 0.0000 0.9578 0.9839
Mg 0.5000 0.7500 0.7500
Sr 0.0000 0.5422 0.5161

Entry from Alexandria via LeMat-Bulk: crystalline Rb2NaSiI6 at its relaxed geometry (GGA-PBE).

Output
DOS at the Fermi energy = 4.6 states/eV per cell
E = -26.4 eV per cell
magnetic moment = 0.000 μB/atom
symmetry = Fm-3m

Lattice parameters (Å, degrees): 8.4131 8.4131 8.4142 60.00 60.00 90.00
Element x y z (fractional)
I 0.7645 0.7645 0.4710
I 0.2355 0.2355 0.5290
I 0.2355 0.2355 0.0000
Na 0.5000 0.5000 0.0000
I 0.7645 0.7645 0.0000
I 0.7645 0.2355 0.0000
Rb 0.7500 0.2500 0.5000
Si 0.0000 0.0000 0.0000
Rb 0.2500 0.7500 0.5000
I 0.2355 0.7645 0.0000

Entry from Alexandria via LeMat-Bulk: crystalline LiNdHg at its relaxed geometry (GGA-PBE).

Output
E above lowest polymorph = 0.226 eV per atom
DOS at the Fermi energy = 4.9 states/eV per cell
ΔE_f = -0.1206 eV/atom
E = -7.3 eV per cell
magnetic moment = 0.098 μB/atom
symmetry = F-43m

Lattice parameters (Å, degrees): 4.9939 4.9939 4.9939 60.00 60.00 60.00
Element x y z (fractional)
Li 0.5000 0.5000 0.5000
Nd 0.0000 0.0000 0.0000
Hg 0.2500 0.2500 0.2500

Entry from Alexandria via LeMat-Bulk: crystalline Ca2P7Rh12 at its relaxed geometry (GGA-PBE).

Output
DOS at the Fermi energy = 12.9 states/eV per cell
ΔE_f = -0.8638 eV/atom
E = -148.2 eV per cell
magnetic moment = 0.000 μB/atom
symmetry = P-3

Lattice parameters (Å, degrees): 3.8605 9.6089 9.6089 120.00 90.00 90.00
Element x y z (fractional)
Rh 0.7512 0.0641 0.4459
Rh 0.7486 0.8505 0.1103
P 0.7544 0.5952 0.8832
P 0.2456 0.4048 0.1168
P 0.5000 0.0000 0.0000
P 0.7544 0.1168 0.7120
Rh 0.2488 0.6182 0.0641
Rh 0.2488 0.4459 0.3818
P 0.2456 0.7120 0.5952
Rh 0.2514 0.1103 0.2598
Rh 0.7486 0.8897 0.7402
Rh 0.2514 0.1495 0.8897
Ca 0.2523 0.3333 0.6667
Rh 0.7486 0.2598 0.1495
Rh 0.2514 0.7402 0.8505
Rh 0.7512 0.5541 0.6182
P 0.2456 0.8832 0.2880
Rh 0.7512 0.3818 0.9359
P 0.7544 0.2880 0.4048
Ca 0.7477 0.6667 0.3333
Rh 0.2488 0.9359 0.5541

Entry from Alexandria via LeMat-Bulk: crystalline Ag2BiBr6 at its relaxed geometry (GGA-PBE).

Output
E above lowest polymorph = 0.000 eV per atom
DOS at the Fermi energy = 17.0 states/eV per cell
E = -23.7 eV per cell
magnetic moment = 0.064 μB/atom
symmetry = P-31m

Lattice parameters (Å, degrees): 6.7081 7.1708 7.1708 120.00 90.00 90.00
Element x y z (fractional)
Ag 0.5000 0.3333 0.6667
Ag 0.5000 0.6667 0.3333
Br 0.2630 0.0000 0.6622
Br 0.7370 0.6622 0.6622
Br 0.7370 0.0000 0.3378
Br 0.7370 0.3378 0.0000
Br 0.2630 0.6622 0.0000
Br 0.2630 0.3378 0.3378
Bi 0.5000 0.0000 0.0000